1.
# Na6TlAu2

A relaxed structure of Na6TlAu2 (PBE-GGA, Alexandria via LeMat-Bulk).

Cell lengths 5.0194, 5.6105, 9.5437 Å; angles 91.49, 90.00, 116.57 degrees
Fractional positions:
Na (0.0570, 0.1139, 0.8460)
Au (0.7377, 0.4753, 0.9211)
Na (0.3700, 0.7400, 0.7789)
Tl (0.0000, 0.0000, 0.5000)
Na (0.3145, 0.6291, 0.3913)
Na (0.6300, 0.2600, 0.2211)
Au (0.2623, 0.5247, 0.0789)
Na (0.6855, 0.3709, 0.6087)
Na (0.9430, 0.8861, 0.1540)

Properties
For the energy above the most stable polymorph in this dataset, the calculation gives 33 meV/atom. The calculated total energy comes out at -2.05 eV per atom. The calculation puts the density of states at the Fermi level at 3.20 states/eV/f.u. The formation enthalpy at 0 K is -177 meV/atom. The symmetry is C2/m, No. 12. Its crystal system is monoclinic. The magnetization comes out at 0.00 μB per formula unit.



2.
# NaTlAu5

A relaxed structure of NaTlAu5 (PBE-GGA, Alexandria via LeMat-Bulk).

Cell lengths 5.5449, 9.2074, 12.1937 Å; angles 90.00, 90.00, 90.00 degrees
Fractional positions:
Au (0.9961, 0.8948, 0.3282)
Au (0.0039, 0.6052, 0.8282)
Au (0.4961, 0.1052, 0.6718)
Au (0.2500, 0.1418, 0.2382)
Tl (0.2500, 0.9054, 0.8831)
Na (0.7500, 0.7133, 0.0934)
Na (0.7500, 0.2133, 0.4066)
Au (0.2500, 0.5974, 0.0291)
Au (0.2500, 0.8860, 0.1166)
Au (0.7500, 0.4026, 0.9709)
Na (0.2500, 0.2867, 0.9066)
Au (0.7500, 0.8582, 0.7618)
Au (0.0039, 0.1052, 0.6718)
Au (0.7500, 0.3582, 0.7382)
Au (0.7500, 0.9026, 0.5291)
Au (0.2500, 0.0974, 0.4709)
Au (0.7500, 0.1140, 0.8834)
Au (0.7500, 0.6140, 0.6166)
Au (0.5039, 0.8948, 0.3282)
Tl (0.7500, 0.5946, 0.3831)
Tl (0.7500, 0.0946, 0.1169)
Au (0.5039, 0.3948, 0.1718)
Tl (0.2500, 0.4054, 0.6169)
Au (0.2500, 0.3860, 0.3834)
Au (0.2500, 0.6418, 0.2618)
Au (0.9961, 0.3948, 0.1718)
Au (0.4961, 0.6052, 0.8282)
Na (0.2500, 0.7867, 0.5934)

Properties
The calculated total energy comes out at -2.99 eV per atom. The calculation puts the density of states at the Fermi level at 1.27 states/eV/f.u. The formation enthalpy at 0 K is -127 meV/atom. The symmetry is Pnma, No. 62. Its crystal system is orthorhombic. The magnetization comes out at 0.00 μB per formula unit.



3.
# Na2TlAu2

A relaxed structure of Na2TlAu2 (PBE-GGA, Alexandria via LeMat-Bulk).

Cell lengths 5.7954, 5.9460, 8.4491 Å; angles 102.96, 90.00, 119.17 degrees
Fractional positions:
Au (0.0052, 0.2703, 0.9919)
Na (0.5052, 0.3098, 0.1542)
Tl (0.1989, 0.0000, 0.7500)
Na (0.4948, 0.6902, 0.8458)
Au (0.7349, 0.7297, 0.5081)
Na (0.8047, 0.3098, 0.6542)
Na (0.1953, 0.6902, 0.3458)
Au (0.2651, 0.2703, 0.4919)
Au (0.9948, 0.7297, 0.0081)
Tl (0.8011, 0.0000, 0.2500)

Properties
For the energy above the most stable polymorph in this dataset, the calculation gives 0 meV/atom. The calculated total energy comes out at -2.57 eV per atom. The calculation puts the density of states at the Fermi level at 1.68 states/eV/f.u. The formation enthalpy at 0 K is -259 meV/atom. The symmetry is C2/c, No. 15. Its crystal system is monoclinic. The magnetization comes out at 0.00 μB per formula unit.



4.
# Na2Tl8Au

A relaxed structure of Na2Tl8Au (PBE-GGA, Alexandria via LeMat-Bulk).

Cell lengths 5.0299, 5.0299, 12.5902 Å; angles 90.00, 90.00, 90.00 degrees
Fractional positions:
Tl (0.5000, 0.0000, 0.5000)
Tl (0.0000, 0.5000, 0.8667)
Au (0.0000, 0.0000, 0.0000)
Tl (0.5000, 0.5000, 0.6808)
Tl (0.5000, 0.0000, 0.1333)
Na (0.0000, 0.0000, 0.3167)
Tl (0.0000, 0.5000, 0.5000)
Tl (0.5000, 0.5000, 0.3192)
Tl (0.5000, 0.0000, 0.8667)
Na (0.0000, 0.0000, 0.6833)
Tl (0.0000, 0.5000, 0.1333)

Properties
For the energy above the most stable polymorph in this dataset, the calculation gives 0 meV/atom. The calculated total energy comes out at -2.32 eV per atom. The calculation puts the density of states at the Fermi level at 6.23 states/eV/f.u. The formation enthalpy at 0 K is -66 meV/atom. The symmetry is P4/mmm, No. 123. Its crystal system is tetragonal. The magnetization comes out at 0.00 μB per formula unit.



5.
# Na5Tl2Au4

A relaxed structure of Na5Tl2Au4 (PBE-GGA, Alexandria via LeMat-Bulk).

Cell lengths 6.1759, 7.0901, 9.3928 Å; angles 49.25, 70.81, 64.18 degrees
Fractional positions:
Au (0.4710, 0.7496, 0.3083)
Na (0.6282, 0.2440, 0.9983)
Au (0.7653, 0.7498, 0.7196)
Na (0.1295, 0.2440, 0.9983)
Na (0.8705, 0.7560, 0.0017)
Au (0.5290, 0.2504, 0.6917)
Tl (0.7043, 0.2416, 0.3497)
Na (0.3718, 0.7560, 0.0017)
Au (0.2347, 0.2502, 0.2804)
Tl (0.2957, 0.7584, 0.6503)
Na (0.0000, 0.5000, 0.5000)

Properties
The calculated total energy comes out at -2.40 eV per atom. The calculation puts the density of states at the Fermi level at 3.67 states/eV/f.u. The formation enthalpy at 0 K is -176 meV/atom. The symmetry is C2/m, No. 12. Its crystal system is monoclinic. The magnetization comes out at 0.00 μB per formula unit.



6.
# NaTlAu

A relaxed structure of NaTlAu (PBE-GGA, Alexandria via LeMat-Bulk).

Cell lengths 4.8746, 4.8746, 4.8746 Å; angles 60.00, 60.00, 60.00 degrees
Fractional positions:
Tl (0.0000, 0.0000, 0.0000)
Au (0.2500, 0.2500, 0.2500)
Na (0.5000, 0.5000, 0.5000)

Properties
The calculated total energy comes out at -2.49 eV per atom. The calculation puts the density of states at the Fermi level at 1.83 states/eV/f.u. The formation enthalpy at 0 K is -171 meV/atom. The symmetry is F-43m, No. 216. Its crystal system is cubic. The magnetization comes out at 0.00 μB per formula unit.



7.
# Na2Tl2Au

A relaxed structure of Na2Tl2Au (PBE-GGA, Alexandria via LeMat-Bulk).

Cell lengths 4.1193, 4.1193, 8.5511 Å; angles 76.06, 76.06, 90.00 degrees
Fractional positions:
Na (0.2500, 0.7500, 0.5000)
Tl (0.4078, 0.4078, 0.1844)
Na (0.7500, 0.2500, 0.5000)
Au (0.0000, 0.0000, 0.0000)
Tl (0.5922, 0.5922, 0.8156)

Properties
For the energy above the most stable polymorph in this dataset, the calculation gives 262 meV/atom. The calculated total energy comes out at -2.02 eV per atom. The calculation puts the density of states at the Fermi level at 1.83 states/eV/f.u. The formation enthalpy at 0 K is 105 meV/atom. The symmetry is I4/mmm, No. 139. Its crystal system is tetragonal. The magnetization comes out at 0.00 μB per formula unit.



8.
# Na12Tl7Au

A relaxed structure of Na12Tl7Au (PBE-GGA, Alexandria via LeMat-Bulk).

Cell lengths 8.7182, 8.7182, 8.7182 Å; angles 103.81, 103.81, 103.81 degrees
Fractional positions:
Na (0.5348, 0.2642, 0.7648)
Tl (0.6904, 0.1195, 0.0616)
Na (0.3466, 0.2868, 0.0792)
Tl (0.8805, 0.9384, 0.3096)
Na (0.0792, 0.3466, 0.2868)
Na (0.2352, 0.4652, 0.7358)
Na (0.7132, 0.9208, 0.6534)
Na (0.9208, 0.6534, 0.7132)
Tl (0.1195, 0.0616, 0.6904)
Tl (0.5000, 0.5000, 0.5000)
Tl (0.0616, 0.6904, 0.1195)
Au (0.0000, 0.0000, 0.0000)
Na (0.2642, 0.7648, 0.5348)
Tl (0.9384, 0.3096, 0.8805)
Tl (0.3096, 0.8805, 0.9384)
Na (0.6534, 0.7132, 0.9208)
Na (0.7358, 0.2352, 0.4652)
Na (0.7648, 0.5348, 0.2642)
Na (0.2868, 0.0792, 0.3466)
Na (0.4652, 0.7358, 0.2352)

Properties
The calculated total energy comes out at -1.88 eV per atom. The calculation puts the density of states at the Fermi level at 9.80 states/eV/f.u. The formation enthalpy at 0 K is -93 meV/atom. The symmetry is R-3, No. 148. Its crystal system is trigonal. The magnetization comes out at 0.00 μB per formula unit.



9.
# Na2TlAu2

A relaxed structure of Na2TlAu2 (PBE-GGA, Alexandria via LeMat-Bulk).

Cell lengths 3.8043, 4.4766, 7.6950 Å; angles 106.91, 90.00, 90.00 degrees
Fractional positions:
Na (0.5000, 0.6389, 0.2778)
Au (0.0000, 0.8081, 0.6162)
Au (0.0000, 0.1919, 0.3838)
Na (0.5000, 0.3611, 0.7222)
Tl (0.0000, 0.0000, 0.0000)

Properties
For the energy above the most stable polymorph in this dataset, the calculation gives 30 meV/atom. The calculated total energy comes out at -2.54 eV per atom. The calculation puts the density of states at the Fermi level at 1.59 states/eV/f.u. The formation enthalpy at 0 K is -229 meV/atom. The symmetry is Cmmm, No. 65. Its crystal system is orthorhombic. The magnetization comes out at 0.00 μB per formula unit.



10.
# Na5Tl2Au

A relaxed structure of Na5Tl2Au (PBE-GGA, Alexandria via LeMat-Bulk).

Cell lengths 5.1668, 5.1668, 8.8051 Å; angles 107.06, 107.06, 90.00 degrees
Fractional positions:
Na (0.8793, 0.3793, 0.7586)
Na (0.1207, 0.6207, 0.2414)
Tl (0.7494, 0.7494, 0.4988)
Tl (0.2506, 0.2506, 0.5012)
Na (0.6207, 0.1207, 0.2414)
Au (0.0000, 0.0000, 0.0000)
Na (0.3793, 0.8793, 0.7586)
Na (0.5000, 0.5000, 0.0000)

Properties
For the energy above the most stable polymorph in this dataset, the calculation gives 20 meV/atom. The calculated total energy comes out at -1.95 eV per atom. The calculation puts the density of states at the Fermi level at 3.70 states/eV/f.u. The formation enthalpy at 0 K is -124 meV/atom. The symmetry is I4/mmm, No. 139. Its crystal system is tetragonal. The magnetization comes out at 0.00 μB per formula unit.